Material: TiNbZnRu
Method: DFT, PBE
State: relaxed

Unit cell a=6.318 b=6.318 c=6.318 alpha=90.00 beta=90.00 gamma=90.00
Space group F-43m (No. 216)
Asymmetric unit:
Ti: 0.000 0.000 0.000 x4
Nb: 0.000 0.000 0.500 x4
Zn: 0.250 0.250 0.250 x4
Ru: 0.250 0.250 0.750 x4

ΔH_f (0 K) = -0.1771 eV per atom


Material: SrTb5Se6
Method: DFT, PBE
State: relaxed

Unit cell a=7.150 b=12.409 c=7.204 alpha=90.00 beta=109.40 gamma=90.00
Space group C2/m (No. 12)
Asymmetric unit:
Sr: 0.000 0.000 0.000 x2
Tb: 0.000 0.162 0.500 x4
Tb: 0.000 0.333 0.000 x4
Tb: 0.000 0.500 0.500 x2
Se: 0.242 0.500 0.250 x4
Se: 0.243 0.329 0.743 x8

Energy relative to the elements, uncorrected = -173 kJ/mol of atoms